Record 1
DFT (GGA+U) results for TiFeF6 after structural relaxation.

E, eV/atom: -6.14
Volume, Å³/atom: 13.6
Density of states at the Fermi level, states/eV/f.u.: 0.00

Unit cell a=5.1755 b=5.1755 c=9.3663 alpha=90.00 beta=90.00 gamma=120.00
Closest atoms and distances in Å follow each position.
Space group P-31c (No. 163)
Inequivalent atoms, fractional coordinates:
1 Ti 0.0000 0.0000 0.0000 x2  6 F 1.89
2 Fe 0.3333 0.6667 0.2500 x2  6 F 2.10
3 F 0.0389 0.3158 0.1173 x12  1 Ti 1.89, 1 Fe 2.10

=====

Record 2
DFT (GGA+U) results for Tb2MnCrO6 after structural relaxation.

E, eV/atom: -7.94
Volume, Å³/atom: 11.4
Polymorph energy (0 for the lowest one), kJ/mol of formula units: 50.1

Unit cell a=5.4113 b=5.4270 c=5.4285 alpha=119.43 beta=90.05 gamma=119.77
Closest atoms and distances in Å follow each position.
Space group P-1 (No. 2)
Inequivalent atoms, fractional coordinates:
1 Tb 0.2490 0.4979 0.2244 x2  5 O 2.25-2.33
2 Mn 0.5000 0.0000 0.0000 x1  6 O 1.97-2.02
3 Cr 0.0000 0.0000 0.5000 x1  6 O 1.99-2.04
4 O 0.1860 0.8720 0.1842 x2  1 Mn 1.97, 1 Cr 1.99
5 O 0.2516 0.5041 0.6416 x2  1 Mn 2.02, 1 Cr 2.04, 1 Tb 2.25
6 O 0.3158 0.1283 0.8144 x2  1 Mn 1.97, 1 Cr 1.99